10
Lattice="0.000 4.246 4.246 4.246 0.000 4.246 4.246 4.246 0.000" Properties=species:S:1:pos:R:3 comment="KSmSnWO6 | Alexandria via LeMat-Bulk | PBE+U | relaxed" crystal_system=cubic e_tot_ev_per_atom=-6.819 relative_energy_mev_per_atom=9 pbc="T T T"
K 0.000 0.000 0.000
Sm 6.369 6.369 6.369
Sn 4.246 4.246 4.246
W 2.123 2.123 2.123
O 2.123 2.123 0.172
O 2.123 0.172 2.123
O 4.075 2.123 2.123
O 0.172 2.123 2.123
O 2.123 4.075 2.123
O 2.123 2.123 4.075